Entry from the Alexandria database: an optimized crystal structure of ZrNiP2 (PBE).

volume = 63 Å³ per cell
E_form = -0.57 eV/atom
E = -6.854 eV per atom
size of the total moment = 0.00 μB per formula unit

Cell lengths 3.6914, 3.6914, 5.6753 Å; angles 106.67, 106.67, 59.33 degrees
With the nearest neighbours (Å) after each atom.
Element x y z (fractional)
Zr (0.0000, 0.0000, 0.0000)  6 P 2.62-2.65
Ni (0.5000, 0.5000, 0.5000)  6 P 2.32-2.44
P (0.2423, 0.2423, 0.7075)  3 Ni 2.32-2.44
P (0.7577, 0.7577, 0.2925)  3 Ni 2.32-2.44

Entry from the Alexandria database: an optimized crystal structure of PaAg2AsO8 (PBE).

uncorrected formation energy = -0.8498 eV/atom
volume = 180 Å³ per cell
E = -5.809 eV per atom
size of the total moment = 4.01 μB per formula unit

Cell lengths 6.0518, 6.0518, 5.6846 Å; angles 90.00, 90.00, 120.00 degrees
With the nearest neighbours (Å) after each atom.
Element x y z (fractional)
Pa (0.0000, 0.0000, 0.0000)  6 O 2.22
Ag (0.3333, 0.6667, 0.5154)  1 O 2.02
Ag (0.6667, 0.3333, 0.4846)  1 O 2.02
As (0.0000, 0.0000, 0.5000)  6 O 1.88
O (0.1404, 0.2808, 0.7067)  1 As 1.88
O (0.1404, 0.8596, 0.7067)  1 As 1.88
O (0.2808, 0.1404, 0.2933)  1 As 1.88
O (0.3333, 0.6667, 0.1603)  1 Ag 2.02
O (0.6667, 0.3333, 0.8397)  1 Ag 2.02
O (0.7192, 0.8596, 0.7067)  1 As 1.88
O (0.8596, 0.1404, 0.2933)  1 As 1.88
O (0.8596, 0.7192, 0.2933)  1 As 1.88

Entry from the Alexandria database: an optimized crystal structure of K3HfGe (PBE).

volume = 294 Å³ per cell
E_form = 1.53 eV/atom
E = -2.047 eV per atom
size of the total moment = 1.00 μB per formula unit
excess energy over the best structure of this formula in the dataset = 333.7 meV/atom

Cell lengths 6.6505, 6.6505, 6.6505 Å; angles 90.00, 90.00, 90.00 degrees
With the nearest neighbours (Å) after each atom.
Element x y z (fractional)
K (0.0000, 0.0000, 0.5000)  2 Hf 3.33
K (0.0000, 0.5000, 0.0000)  2 Hf 3.33
K (0.5000, 0.0000, 0.0000)  2 Hf 3.33
Hf (0.0000, 0.0000, 0.0000)  6 K 3.33
Ge (0.5000, 0.5000, 0.5000)  12 K 4.70

Entry from the Alexandria database: an optimized crystal structure of RbCoOs (PBE).

volume = 205 Å³ per cell
E_form = 0.67 eV/atom
E = -5.760 eV per atom
size of the total moment = 0.00 μB per formula unit
excess energy over the best structure of this formula in the dataset = 21.7 meV/atom

Cell lengths 4.5283, 4.5527, 10.8861 Å; angles 89.12, 87.54, 65.99 degrees
With the nearest neighbours (Å) after each atom.
Element x y z (fractional)
Rb (0.0000, 0.0000, 0.0000)  1 Co 3.27, 1 Os 3.43
Rb (0.3088, 0.3919, 0.4304)  1 Co 3.27, 1 Os 3.43
Co (0.4098, 0.6962, 0.6871)  2 Co 2.33-2.36, 4 Os 2.41-2.49
Co (0.9027, 0.6907, 0.7433)  2 Co 2.33-2.36, 4 Os 2.41-2.49
Os (0.4020, 0.1965, 0.7607)  4 Co 2.41-2.49, 2 Os 2.46-2.49
Os (0.9103, 0.1903, 0.6696)  4 Co 2.41-2.49, 2 Os 2.46-2.49